A relaxed structure of Np2CoS3, computed with PBE-GGA.

Summary:
E = -8.756 eV per atom
Total moment = 27.85 μB/cell
ΔE_f (raw) = -1.194 eV per atom
Theoretical density = 9.64 g/cm³

Unit cell a=7.713 b=3.758 c=14.956 alpha=90.00 beta=90.00 gamma=90.00
Fractional positions:
Np (0.076, 0.250, 0.219)
Np (0.240, 0.750, 0.464)
Np (0.260, 0.250, 0.964)
Np (0.424, 0.750, 0.719)
Np (0.576, 0.250, 0.281)
Np (0.740, 0.750, 0.036)
Np (0.760, 0.250, 0.536)
Np (0.924, 0.750, 0.781)
Co (0.124, 0.250, 0.634)
Co (0.376, 0.750, 0.134)
Co (0.624, 0.250, 0.866)
Co (0.876, 0.750, 0.366)
S (0.009, 0.250, 0.400)
S (0.113, 0.750, 0.076)
S (0.187, 0.250, 0.778)
S (0.313, 0.750, 0.278)
S (0.387, 0.250, 0.576)
S (0.491, 0.750, 0.900)
S (0.509, 0.250, 0.100)
S (0.613, 0.750, 0.424)
S (0.687, 0.250, 0.722)
S (0.813, 0.750, 0.222)
S (0.887, 0.250, 0.924)
S (0.991, 0.750, 0.600)